# 1
Compound: BiSb2S
Source: the Alexandria database
Functional: GGA-PBE
Structure: relaxed

Values from the calculation:
Relative energy among the computed polymorphs ... 76 meV per atom
Space-group type ... Fm-3m (225)

a b c (Å): 5.2405 5.2405 5.2405
angles (deg): 60.00 60.00 60.00
Fractional positions:
Sb: 0.2500 0.2500 0.2500
Sb: 0.7500 0.7500 0.7500
S: 0.0000 0.0000 0.0000
Bi: 0.5000 0.5000 0.5000

***

# 2
Compound: BiSb3S6
Source: the Alexandria database
Functional: GGA-PBE
Structure: relaxed

Values from the calculation:
Space-group type ... P2_1/m (11)

a b c (Å): 3.9207 11.9166 11.6051
angles (deg): 104.01 90.00 90.00
Fractional positions:
Bi: 0.7500 0.0176 0.6800
Bi: 0.2500 0.9824 0.3200
Sb: 0.7500 0.4201 0.8434
Sb: 0.2500 0.5799 0.1566
Sb: 0.7500 0.6958 0.4565
Sb: 0.2500 0.3042 0.5435
Sb: 0.7500 0.1485 0.0905
Sb: 0.2500 0.8515 0.9095
S: 0.7500 0.4519 0.6274
S: 0.2500 0.5481 0.3726
S: 0.7500 0.9463 0.1118
S: 0.2500 0.0537 0.8882
S: 0.7500 0.4338 0.1089
S: 0.2500 0.5662 0.8911
S: 0.7500 0.7688 0.2757
S: 0.2500 0.2312 0.7243
S: 0.7500 0.1103 0.4642
S: 0.2500 0.8897 0.5358
S: 0.7500 0.8049 0.7575
S: 0.2500 0.1951 0.2425

***

Formation energy from raw total energies? In order: 266; -264 meV/atom.
Size of the total moment? In order: 0.000; 0.000 μB per atom.